(1)
Compound: K2TcS4
Source: the Alexandria database
Functional: PBE
Structure: relaxed

Summary:
raw formation energy	-733.2	meV/atom
space-group type	No. 11
energy above the lowest structure with this stoichiometry	0.0	kJ/mol of atoms
energy	-4.8862	eV/atom

abc: 7.3952 6.6301 9.6087
angles: 90.00 91.39 90.00
Element x y z (fractional)
K  0.2218  0.2500  0.0047
K  0.2245  0.2500  0.5030
K  0.7755  0.7500  0.4970
K  0.7782  0.7500  0.9953
Tc  0.1844  0.7500  0.7530
Tc  0.8156  0.2500  0.2470
S  0.0059  0.0129  0.7487
S  0.0059  0.4871  0.7487
S  0.3432  0.7500  0.9469
S  0.3482  0.7500  0.5675
S  0.6518  0.2500  0.4325
S  0.6568  0.2500  0.0531
S  0.9941  0.5129  0.2513
S  0.9941  0.9871  0.2513

(2)
Compound: KTc2S3
Source: the Alexandria database
Functional: PBE
Structure: relaxed

Summary:
raw formation energy	-520.5	meV/atom
space-group type	No. 12
energy	-6.2225	eV/atom

abc: 11.7925 11.7925 7.0088
angles: 103.79 103.79 17.49
Element x y z (fractional)
K  0.0940  0.0940  0.0747
K  0.9060  0.9060  0.9253
Tc  0.2165  0.2165  0.5665
Tc  0.4381  0.4381  0.4459
Tc  0.5619  0.5619  0.5541
Tc  0.7835  0.7835  0.4335
S  0.1227  0.1227  0.6093
S  0.2338  0.2338  0.2553
S  0.4983  0.4983  0.7553
S  0.5017  0.5017  0.2447
S  0.7662  0.7662  0.7447
S  0.8773  0.8773  0.3907

(3)
Compound: KTcS2
Source: the Alexandria database
Functional: PBE
Structure: relaxed

Summary:
raw formation energy	-700.1	meV/atom
space-group type	No. 15
energy above the lowest structure with this stoichiometry	0.0	kJ/mol of atoms
energy	-5.6297	eV/atom

abc: 7.4168 7.4168 14.5345
angles: 97.45 97.45 89.98
Element x y z (fractional)
K  0.1396  0.7692  0.5992
K  0.2274  0.3406  0.8986
K  0.2308  0.8604  0.9008
K  0.3406  0.2274  0.3986
K  0.6594  0.7726  0.6014
K  0.7692  0.1396  0.0992
K  0.7726  0.6594  0.1014
K  0.8604  0.2308  0.4008
Tc  0.1085  0.7053  0.3261
Tc  0.2945  0.4451  0.1727
Tc  0.2947  0.8915  0.1739
Tc  0.4451  0.2945  0.6727
Tc  0.5549  0.7055  0.3273
Tc  0.7053  0.1085  0.8261
Tc  0.7055  0.5549  0.8273
Tc  0.8915  0.2947  0.6739
S  0.0490  0.4256  0.2473
S  0.0510  0.9490  0.2500
S  0.1473  0.2752  0.5926
S  0.2710  0.6423  0.0679
S  0.2752  0.1473  0.0926
S  0.3577  0.7290  0.4321
S  0.4246  0.5754  0.7500
S  0.4256  0.0490  0.7473
S  0.5744  0.9510  0.2527
S  0.5754  0.4246  0.2500
S  0.6423  0.2710  0.5679
S  0.7248  0.8527  0.9074
S  0.7290  0.3577  0.9321
S  0.8527  0.7248  0.4074
S  0.9490  0.0510  0.7500
S  0.9510  0.5744  0.7527

(4)
Compound: KTcS2
Source: the Alexandria database
Functional: PBE
Structure: relaxed

Summary:
raw formation energy	175.9	meV/atom
space-group type	No. 225
energy above the lowest structure with this stoichiometry	84.5	kJ/mol of atoms
energy	-4.7537	eV/atom

abc: 4.5639 4.5639 4.5639
angles: 60.00 60.00 60.00
Element x y z (fractional)
K  0.0000  0.0000  0.0000
Tc  0.5000  0.5000  0.5000
S  0.2500  0.2500  0.2500
S  0.7500  0.7500  0.7500

(5)
Compound: K2TcS
Source: the Alexandria database
Functional: PBE
Structure: relaxed

Summary:
raw formation energy	126.2	meV/atom
space-group type	No. 122
energy	-4.0459	eV/atom

abc: 8.8903 8.8903 8.8903
angles: 93.64 93.64 150.81
Element x y z (fractional)
K  0.3750  0.1765  0.3015
K  0.8235  0.1250  0.1985
K  0.8750  0.0735  0.6985
K  0.9265  0.6250  0.8015
Tc  0.2500  0.7500  0.5000
Tc  0.5000  0.5000  0.0000
S  0.0000  0.0000  0.0000
S  0.7500  0.2500  0.5000

(6)
Compound: KTcS3
Source: the Alexandria database
Functional: PBE
Structure: relaxed

Summary:
raw formation energy	-564.5	meV/atom
space-group type	No. 194
energy above the lowest structure with this stoichiometry	0.0	kJ/mol of atoms
energy	-5.3337	eV/atom

abc: 6.8129 6.8129 5.8383
angles: 90.00 90.00 120.00
Element x y z (fractional)
K  0.3333  0.6667  0.2500
K  0.6667  0.3333  0.7500
Tc  0.0000  0.0000  0.0000
Tc  0.0000  0.0000  0.5000
S  0.1596  0.3192  0.7500
S  0.1596  0.8404  0.7500
S  0.3192  0.1596  0.2500
S  0.6808  0.8404  0.7500
S  0.8404  0.1596  0.2500
S  0.8404  0.6808  0.2500

(7)
Compound: KTcS3
Source: the Alexandria database
Functional: PBE
Structure: relaxed

Summary:
raw formation energy	-318.0	meV/atom
space-group type	No. 221
energy above the lowest structure with this stoichiometry	23.8	kJ/mol of atoms
energy	-5.0871	eV/atom

abc: 4.7374 4.7374 4.7374
angles: 90.00 90.00 90.00
Element x y z (fractional)
K  0.0000  0.0000  0.0000
Tc  0.5000  0.5000  0.5000
S  0.0000  0.5000  0.5000
S  0.5000  0.0000  0.5000
S  0.5000  0.5000  0.0000

(8)
Compound: KTcS3
Source: the Alexandria database
Functional: PBE
Structure: relaxed

Summary:
raw formation energy	1750.7	meV/atom
space-group type	No. 221
energy above the lowest structure with this stoichiometry	223.4	kJ/mol of atoms
energy	-3.0184	eV/atom

abc: 5.3365 5.3365 5.3365
angles: 90.00 90.00 90.00
Element x y z (fractional)
K  0.0000  0.0000  0.0000
Tc  0.5000  0.5000  0.5000
S  0.0000  0.0000  0.5000
S  0.0000  0.5000  0.0000
S  0.5000  0.0000  0.0000

(9)
Compound: KTe3S
Source: the Alexandria database
Functional: PBE
Structure: relaxed

Summary:
raw formation energy	-62.9	meV/atom
space-group type	No. 221
energy above the lowest structure with this stoichiometry	0.0	kJ/mol of atoms
energy	-2.9929	eV/atom

abc: 5.4332 5.4332 5.4332
angles: 90.00 90.00 90.00
Element x y z (fractional)
K  0.0000  0.0000  0.0000
Te  0.0000  0.5000  0.5000
Te  0.5000  0.0000  0.5000
Te  0.5000  0.5000  0.0000
S  0.5000  0.5000  0.5000

(10)
Compound: KTe2S4
Source: the Alexandria database
Functional: PBE
Structure: relaxed

Summary:
raw formation energy	-257.6	meV/atom
space-group type	No. 1
energy above the lowest structure with this stoichiometry	0.0	kJ/mol of atoms
energy	-3.6706	eV/atom

abc: 7.6740 8.2109 8.6967
angles: 109.08 110.29 103.95
Element x y z (fractional)
K  0.0000  0.0000  0.0000
K  0.2455  0.7450  0.4450
Te  0.1446  0.3969  0.7931
Te  0.5893  0.4756  0.6901
Te  0.6598  0.9213  0.3359
Te  0.7181  0.3679  0.2238
S  0.0003  0.3020  0.3443
S  0.2940  0.4365  0.0929
S  0.3454  0.2145  0.6963
S  0.4788  0.1104  0.2548
S  0.4995  0.7196  0.8230
S  0.8102  0.6580  0.4756
S  0.8194  0.1041  0.6642
S  0.9075  0.5651  0.9413

(11)
Compound: K2Te2S3
Source: the Alexandria database
Functional: PBE
Structure: relaxed

Summary:
raw formation energy	-459.9	meV/atom
space-group type	No. 12
energy	-3.4400	eV/atom

abc: 7.8952 7.8952 7.0005
angles: 106.25 106.25 33.09
Element x y z (fractional)
K  0.1080  0.1080  0.3476
K  0.8920  0.8920  0.6524
Te  0.3654  0.3654  0.1287
Te  0.6346  0.6346  0.8713
S  0.2609  0.2609  0.7991
S  0.5000  0.5000  0.5000
S  0.7391  0.7391  0.2009

(12)
Compound: K2TeS2
Source: the Alexandria database
Functional: PBE
Structure: relaxed

Summary:
raw formation energy	-700.5	meV/atom
space-group type	No. 36
energy above the lowest structure with this stoichiometry	0.0	kJ/mol of atoms
energy	-3.4188	eV/atom

abc: 10.0905 10.0905 6.5983
angles: 90.00 90.00 151.10
Element x y z (fractional)
K  0.0195  0.9805  0.5000
K  0.1991  0.8009  0.2486
K  0.8009  0.1991  0.7486
K  0.9805  0.0195  0.0000
Te  0.3772  0.6228  0.3395
Te  0.6228  0.3772  0.8395
S  0.1593  0.8407  0.7632
S  0.4133  0.5867  0.6983
S  0.5867  0.4133  0.1983
S  0.8407  0.1593  0.2632

Q: What is the raw formation energy in the eighth record?
A: 1750.7 meV/atom

Q: energy of number 6 (KTcS3)?
A: -5.3337 eV/atom